Entry from Alexandria via LeMat-Bulk: a relaxed structure of TcTeRuN2 (PBE-GGA).

The structure in CIF format:
```
data_TcTeRuN2
_cell_length_a 3.869
_cell_length_b 3.869
_cell_length_c 5.424
_cell_angle_alpha 90.00
_cell_angle_beta 90.00
_cell_angle_gamma 90.00
_symmetry_space_group_name_H-M 'P 4/m m m'
_symmetry_Int_Tables_number 123
_symmetry_space_group_name_Hall '-P 4 2'
loop_
_atom_site_label
_atom_site_type_symbol
_atom_site_fract_x
_atom_site_fract_y
_atom_site_fract_z
Tc1 Tc 0.000 0.000 0.000
Te1 Te 0.000 0.000 0.500
Ru1 Ru 0.500 0.500 0.000
N1 N 0.000 0.500 0.500
```

Energy relative to the elements, uncorrected (eV per atom): 2.29
Crystal system: tetragonal
Spin magnetization (μB/cell): 0.65
E_tot (eV/atom): -5.602
Excess energy over the best structure of this formula in the dataset (meV per atom): 1285